## RbDyP2O6 (PBE)

Data for a relaxed structure of RbDyP2O6.

The structure in POSCAR format:
```
RbDyP2O6
1.0
6.5782 -0.9103 -1.1941
-1.7088 6.4173 -1.1941
-2.7780 -3.1418 10.1561
O Rb P Dy
12 2 4 2
Direct
0.7064 0.7935 0.2670 O
0.7935 0.7064 0.7670 O
0.2936 0.2065 0.7330 O
0.6193 0.7676 0.0139 O
0.0284 0.5147 0.6901 O
0.9716 0.4853 0.3099 O
0.4853 0.9716 0.8099 O
0.3807 0.2324 0.9861 O
0.5147 0.0284 0.1901 O
0.2324 0.3807 0.4861 O
0.7676 0.6193 0.5139 O
0.2065 0.2936 0.2330 O
0.8329 0.1671 0.7500 Rb
0.1671 0.8329 0.2500 Rb
0.6911 0.9333 0.1829 P
0.0667 0.3089 0.3171 P
0.9333 0.6911 0.6829 P
0.3089 0.0667 0.8171 P
0.5812 0.4188 0.2500 Dy
0.4188 0.5812 0.7500 Dy
```

Calculated values
Energy relative to the elements, uncorrected, eV/atom: -2.57
Electronic total energy, eV per cell: -143.6
ρ, g cm⁻³: 3.8
Space-group type: C2/c